Record 1
## NaLaCuTe4 (PBE)

Data for crystalline NaLaCuTe4 at its relaxed geometry.

Structure (extended XYZ):
```
14
Lattice="-1.237 -0.293 -4.262 -4.188 -0.789 1.270 -3.854 20.043 -0.257" Properties=species:S:1:pos:R:3 pbc="T T T"
Cu -2.713 -0.541 -1.496
Te -2.777 11.077 -2.275
Te -5.532 14.122 -1.684
La -4.427 11.737 0.480
Na -2.596 2.213 0.602
La -2.140 7.765 -2.232
Te -3.790 8.424 0.522
Te -2.820 14.663 -0.188
Te -0.905 1.345 -2.150
Te -3.747 4.839 -1.565
Na -3.971 17.289 -2.354
Te -5.662 18.157 0.397
Te -1.034 5.379 -0.069
Cu 0.000 0.000 0.000
```

Properties
- Total energy: -4.11 eV per atom
- SG: P4/nmm (129)
- Uncorrected formation energy: -19.21 kcal/mol of atoms

---

Record 2
## TmZrPd (PBE)

Data for crystalline TmZrPd at its relaxed geometry.

Structure (extended XYZ):
```
6
Lattice="3.497 -0.032 0.481 -0.016 6.328 0.532 0.903 2.274 6.524" Properties=species:S:1:pos:R:3 pbc="T T T"
Pd 1.539 3.025 1.961
Pd 2.845 5.546 5.577
Zr 0.904 7.132 6.833
Tm 1.399 5.948 3.168
Tm 2.985 2.622 4.370
Zr 3.480 1.439 0.704
```

Properties
- Total energy: -6.56 eV per atom
- Energy relative to the lowest polymorph listed for this composition: 0 meV/atom
- SG: C2/m (12)
- DFT formation energy: -1.46 eV/f.u.

---

Record 3
## MnZnN (PBE)

Data for crystalline MnZnN at its relaxed geometry.

Structure (extended XYZ):
```
3
Lattice="2.591 0.000 0.000 0.000 2.591 0.000 0.000 0.000 4.685" Properties=species:S:1:pos:R:3 pbc="T T T"
N 1.295 1.295 2.239
Mn 0.000 0.000 2.948
Zn 1.295 1.295 0.193
```

Properties
- Total energy: -6.29 eV per atom
- Energy relative to the lowest polymorph listed for this composition: 106 meV/atom
- SG: P4mm (99)
- Uncorrected formation energy: -0.84 kcal/mol of atoms

---

Record 4
## CsPaBeN3 (PBE)

Data for crystalline CsPaBeN3 at its relaxed geometry.

Structure (extended XYZ):
```
12
Lattice="-0.375 2.796 2.084 -7.541 -2.775 2.365 6.066 -2.785 4.827" Properties=species:S:1:pos:R:3 pbc="T T T"
Cs -1.702 -2.205 7.077
N -3.195 0.351 3.381
N 1.345 -3.116 5.896
Cs -0.148 -0.560 2.200
Pa -4.122 -1.662 2.963
N -3.809 -2.956 4.755
Be -4.835 -1.631 5.743
Pa 2.272 -1.103 6.314
Be 2.985 -1.134 3.533
N -5.564 -0.763 4.449
N 1.959 0.192 4.521
N 3.714 -2.001 4.828
```

Properties
- Total energy: -7.33 eV per atom
- SG: P2_1/m (11)
- Uncorrected formation energy: -18.91 kcal/mol of atoms

---

Record 5
## Tl2Re (PBE)

Data for crystalline Tl2Re at its relaxed geometry.

Structure (extended XYZ):
```
6
Lattice="2.920 0.000 0.000 0.000 7.369 0.000 0.000 0.000 7.373" Properties=species:S:1:pos:R:3 pbc="T T T"
Re 0.000 0.000 0.000
Tl 0.000 1.957 5.425
Tl 0.000 5.412 1.948
Tl 1.460 5.641 5.634
Tl 1.460 1.727 1.739
Re 1.460 3.684 3.687
```

Properties
- Total energy: -4.82 eV per atom
- Energy relative to the lowest polymorph listed for this composition: 341 meV/atom
- SG: Pnnm (58)
- DFT formation energy: 2.72 eV/f.u.

---

Record 6
## Sm4ThTl (PBE)

Data for crystalline Sm4ThTl at its relaxed geometry.

Structure (extended XYZ):
```
6
Lattice="3.636 0.000 0.000 0.000 3.636 0.000 0.000 0.000 14.580" Properties=species:S:1:pos:R:3 pbc="T T T"
Sm 1.818 1.818 12.142
Sm 1.818 1.818 2.438
Tl 1.818 1.818 7.290
Sm 0.000 0.000 5.134
Th 0.000 0.000 0.000
Sm 0.000 0.000 9.446
```

Properties
- Total energy: -4.87 eV per atom
- Energy relative to the lowest polymorph listed for this composition: 0 meV/atom
- SG: P4/mmm (123)
- DFT formation energy: -0.53 eV/f.u.

---

Record 7
## NdTh2Hg (PBE)

Data for crystalline NdTh2Hg at its relaxed geometry.

Structure (extended XYZ):
```
4
Lattice="5.044 0.000 0.000 0.000 4.871 0.000 0.000 0.000 4.871" Properties=species:S:1:pos:R:3 pbc="T T T"
Nd 2.522 2.435 2.435
Th 0.000 2.435 0.000
Th 0.000 0.000 2.435
Hg 2.522 0.000 0.000
```

Properties
- Total energy: -5.05 eV per atom
- Energy relative to the lowest polymorph listed for this composition: 0 meV/atom
- SG: P4/mmm (123)
- DFT formation energy: -0.29 eV/f.u.

---

Record 8
## Mg2CoMo (PBE)

Data for crystalline Mg2CoMo at its relaxed geometry.

Structure (extended XYZ):
```
4
Lattice="5.444 0.013 0.006 4.670 2.797 0.006 1.917 0.533 4.122" Properties=species:S:1:pos:R:3 pbc="T T T"
Mo 3.008 0.836 1.034
Mg 5.802 1.612 2.174
Mg 2.131 0.592 4.015
Co 9.023 2.507 3.101
```

Properties
- Total energy: -4.94 eV per atom
- Energy relative to the lowest polymorph listed for this composition: 232 meV/atom
- SG: Immm (71)
- DFT formation energy: 1.37 eV/f.u.

---

- What is the total energy in the eighth record?
  -4.94 eV per atom